[1]
Computed, not measured: crystalline In4P6Pb2O23 at its relaxed geometry at the GGA-PBE level of DFT.

a = 6.6862 Å, b = 8.4266 Å, c = 9.3490 Å
α = 102.34°, β = 102.21°, γ = 103.96°
With the nearest neighbours (Å) after each atom.
Fractional positions:
In: 0.9827 0.7811 0.0672  5 O 2.08-2.21
In: 0.0111 0.2210 0.9294  5 O 2.08-2.26
In: 0.7756 0.1794 0.4272  6 O 2.13-2.29
In: 0.2278 0.8173 0.5728  6 O 2.12-2.27
P: 0.0003 0.5164 0.7413  4 O 1.54-1.56
P: 0.0019 0.4834 0.2572  4 O 1.54-1.56
P: 0.5271 0.8637 0.0881  4 O 1.52-1.60
P: 0.4818 0.1429 0.9147  4 O 1.52-1.60
P: 0.7826 0.8993 0.6518  4 O 1.54-1.58
P: 0.2199 0.0999 0.3515  4 O 1.54-1.58
Pb: 0.4893 0.5247 0.7348  4 O 2.46-2.58
Pb: 0.5117 0.4701 0.2636  4 O 2.46-2.54
O: 0.1114 0.3982 0.8121  1 P 1.55
O: 0.8929 0.6036 0.1886  1 P 1.55
O: 0.8209 0.4178 0.5937  1 P 1.54
O: 0.1820 0.5798 0.4048  1 P 1.54
O: 0.2968 0.7646 0.0692  1 P 1.52
O: 0.6981 0.2561 0.9153  1 P 1.53
O: 0.9089 0.9602 0.8268  1 P 1.58
O: 0.0865 0.0401 0.1789  1 P 1.57
O: 0.6332 0.7450 0.9991  1 P 1.56
O: 0.3653 0.2517 0.0036  1 P 1.56
O: 0.5554 0.7760 0.6348  1 P 1.57
O: 0.4469 0.2217 0.3647  1 P 1.58
O: 0.8857 0.6068 0.8475  1 P 1.56
O: 0.1152 0.3939 0.1492  1 P 1.56
O: 0.1908 0.6486 0.7204  1 P 1.55
O: 0.8123 0.3490 0.2773  1 P 1.56
O: 0.7559 0.0593 0.6050  1 P 1.54
O: 0.2504 0.9417 0.3995  1 P 1.54
O: 0.6626 0.9413 0.2529  1 P 1.52
O: 0.3346 0.0449 0.7572  1 P 1.52
O: 0.8944 0.7981 0.5552  1 P 1.54
O: 0.1118 0.2028 0.4508  1 P 1.54
O: 0.5363 0.0158 0.0108  2 P 1.60

Computed properties:
**Size of the total moment**: 0.0 Bohr magnetons per cell
**Formation energy without anion corrections**: -2.000 eV per atom
**Electronic total energy**: -0.247 hartree per atom
**DOS at the Fermi energy**: 0.000 states/eV/atom


[2]
Computed, not measured: crystalline CsZrSb2Te at its relaxed geometry at the GGA-PBE level of DFT.

a = 5.9637 Å, b = 5.9637 Å, c = 6.0446 Å
α = 90.00°, β = 90.00°, γ = 90.00°
With the nearest neighbours (Å) after each atom.
Fractional positions:
Cs: 0.0000 0.0000 0.0000  4 Sb 2.98, 2 Te 3.02
Sb: 0.0000 0.5000 0.0000  2 Cs 2.98
Sb: 0.5000 0.0000 0.0000  2 Cs 2.98
Te: 0.0000 0.0000 0.5000  2 Cs 3.02
Zr: 0.5000 0.5000 0.5000  4 Te 4.22, 8 Sb 4.25

Computed properties:
**Size of the total moment**: 1.0 Bohr magnetons per cell
**Excess energy over the best structure of this formula in the dataset**: 2003.6 meV per atom
**Formation energy without anion corrections**: 1.640 eV per atom
**Electronic total energy**: -0.093 hartree per atom
**DOS at the Fermi energy**: 1.780 states/eV/atom


[3]
Computed, not measured: crystalline Er5Bi2C at its relaxed geometry at the GGA-PBE level of DFT.

a = 4.9953 Å, b = 8.3608 Å, c = 12.9770 Å
α = 90.00°, β = 90.00°, γ = 107.38°
With the nearest neighbours (Å) after each atom.
Fractional positions:
Er: 0.9143 0.8287 0.8742  1 C 2.34
Er: 0.9143 0.8287 0.6258  1 C 2.34
Er: 0.2847 0.5694 0.4182  1 C 2.63
Er: 0.2847 0.5694 0.0818  1 C 2.63
Er: 0.7120 0.4239 0.2500  2 C 2.52
Er: 0.2880 0.5761 0.7500  2 C 2.52
Er: 0.7153 0.4306 0.5818  1 C 2.63
Er: 0.7153 0.4306 0.9182  1 C 2.63
Er: 0.0857 0.1713 0.1258  1 C 2.34
Er: 0.0857 0.1713 0.3742  1 C 2.34
Bi: 0.8866 0.7732 0.3880  5 Er 3.01-3.31
Bi: 0.8866 0.7732 0.1120  5 Er 3.01-3.31
Bi: 0.1134 0.2268 0.6120  5 Er 3.01-3.31
Bi: 0.1134 0.2268 0.8880  5 Er 3.01-3.31
C: 0.8077 0.6153 0.7500  4 Er 2.34-2.52
C: 0.1923 0.3847 0.2500  4 Er 2.34-2.52

Computed properties:
**Size of the total moment**: 1.9 Bohr magnetons per cell
**Electronic total energy**: -0.188 hartree per atom
**ΔH_f (0 K)**: -13.76 kJ per mole of atoms
**DOS at the Fermi energy**: 0.872 states/eV/atom


[4]
Computed, not measured: crystalline BaZr2Rh at its relaxed geometry at the GGA-PBE level of DFT.

a = 6.3622 Å, b = 6.3622 Å, c = 6.3622 Å
α = 147.28°, β = 131.66°, γ = 59.60°
With the nearest neighbours (Å) after each atom.
Fractional positions:
Ba: 0.4598 0.4598 0.0000  2 Rh 3.15, 6 Zr 3.36-3.48
Rh: 0.2250 0.7250 0.5000  2 Zr 2.53
Zr: 0.0637 0.0637 0.0000  2 Rh 2.53
Zr: 0.7515 0.2515 0.5000  4 Rh 3.18, 2 Zr 3.33, 2 Ba 3.48

Computed properties:
**Size of the total moment**: 0.0 Bohr magnetons per cell
**Excess energy over the best structure of this formula in the dataset**: 260.2 meV per atom
**Electronic total energy**: -0.236 hartree per atom
**ΔH_f (0 K)**: 15.94 kJ per mole of atoms
**DOS at the Fermi energy**: 1.161 states/eV/atom


[5]
Computed, not measured: crystalline Ce2GePt3 at its relaxed geometry at the GGA-PBE level of DFT.

a = 5.7219 Å, b = 5.7219 Å, c = 8.6172 Å
α = 104.83°, β = 104.83°, γ = 103.23°
With the nearest neighbours (Å) after each atom.
Fractional positions:
Ce: 0.2500 0.7500 0.5000  8 Pt 3.10-3.13, 4 Ge 3.15
Ce: 0.7596 0.7596 0.0000  10 Pt 3.13-3.23, 2 Ge 3.19, 1 Ce 3.42
Ce: 0.7500 0.2500 0.5000  8 Pt 3.10-3.13, 4 Ge 3.15
Ce: 0.2404 0.2404 0.0000  10 Pt 3.13-3.23, 2 Ge 3.19, 1 Ce 3.42
Ge: 0.6660 0.6660 0.3320  3 Pt 2.48-2.51
Ge: 0.3340 0.3340 0.6680  3 Pt 2.48-2.51
Pt: 0.3480 0.8242 0.1722  1 Ge 2.48, 2 Pt 2.70-2.73
Pt: 0.1758 0.6520 0.8278  1 Ge 2.48, 2 Pt 2.70-2.73
Pt: 0.6520 0.1758 0.8278  1 Ge 2.48, 2 Pt 2.70-2.73
Pt: 0.8242 0.3480 0.1722  1 Ge 2.48, 2 Pt 2.70-2.73
Pt: 0.1743 0.1743 0.3486  1 Ge 2.51, 2 Pt 2.73
Pt: 0.8257 0.8257 0.6514  1 Ge 2.51, 2 Pt 2.73

Computed properties:
**Size of the total moment**: 0.0 Bohr magnetons per cell
**Electronic total energy**: -0.249 hartree per atom
**ΔH_f (0 K)**: -97.58 kJ per mole of atoms
**DOS at the Fermi energy**: 1.278 states/eV/atom


[6]
Computed, not measured: crystalline PaSb2Rh at its relaxed geometry at the GGA-PBE level of DFT.

a = 4.0022 Å, b = 5.0864 Å, c = 5.7957 Å
α = 111.99°, β = 105.23°, γ = 100.81°
With the nearest neighbours (Å) after each atom.
Fractional positions:
Pa: 0.6011 0.2320 0.0000  1 Rh 2.40
Sb: 0.1546 0.9928 0.3426  2 Rh 2.72-2.79
Sb: 0.8122 0.6499 0.6573  2 Rh 2.72-2.79
Rh: 0.4321 0.6613 0.0000  1 Pa 2.40

Computed properties:
**Size of the total moment**: 0.0 Bohr magnetons per cell
**Formation energy without anion corrections**: -0.465 eV per atom
**Electronic total energy**: -0.248 hartree per atom
**DOS at the Fermi energy**: 0.209 states/eV/atom


[7]
Computed, not measured: crystalline Pm6Sm4Sc at its relaxed geometry at the GGA-PBE level of DFT.

a = 8.0488 Å, b = 8.0488 Å, c = 8.3779 Å
α = 118.71°, β = 118.71°, γ = 90.00°
With the nearest neighbours (Å) after each atom.
Fractional positions:
Pm: 0.0305 0.4048 0.4353  3 Sm 3.10-3.45
Pm: 0.4048 0.0305 0.4353  3 Sm 3.10-3.45
Pm: 0.5952 0.5952 0.5647  3 Sm 3.10-3.45
Pm: 0.0000 0.5000 0.0000  4 Sm 3.08
Pm: 0.9695 0.9695 0.5647  3 Sm 3.10-3.45
Pm: 0.5000 0.0000 0.0000  4 Sm 3.08
Sm: 0.1079 0.7610 0.8689  3 Pm 3.08-3.10, 2 Sm 3.22
Sm: 0.8921 0.8921 0.1311  3 Pm 3.08-3.10, 2 Sm 3.22
Sm: 0.7610 0.1079 0.8689  3 Pm 3.08-3.10, 2 Sm 3.22
Sm: 0.2390 0.2390 0.1311  3 Pm 3.08-3.10, 2 Sm 3.22
Sc: 0.5000 0.5000 0.0000  4 Sm 3.80, 8 Pm 4.02-4.07

Computed properties:
**Size of the total moment**: 1.7 Bohr magnetons per cell
**Excess energy over the best structure of this formula in the dataset**: 374.9 meV per atom
**Electronic total energy**: -0.162 hartree per atom
**ΔH_f (0 K)**: 46.36 kJ per mole of atoms
**DOS at the Fermi energy**: 1.678 states/eV/atom


[8]
Computed, not measured: crystalline AlCdF2 at its relaxed geometry at the GGA-PBE level of DFT.

a = 8.7441 Å, b = 8.7441 Å, c = 8.7441 Å
α = 21.21°, β = 21.21°, γ = 21.21°
With the nearest neighbours (Å) after each atom.
Fractional positions:
F: 0.8707 0.8707 0.8707  3 Al 2.09
F: 0.1293 0.1293 0.1293  3 Al 2.09
Al: 0.5000 0.5000 0.5000  6 F 2.09
Cd: 0.0000 0.0000 0.0000  6 Cd 3.22, 2 F 3.32

Computed properties:
**Size of the total moment**: 0.0 Bohr magnetons per cell
**Excess energy over the best structure of this formula in the dataset**: 119.2 meV per atom
**Formation energy without anion corrections**: -1.600 eV per atom
**Electronic total energy**: -0.136 hartree per atom
**DOS at the Fermi energy**: 0.490 states/eV/atom


[9]
Computed, not measured: crystalline NbAlRu2 at its relaxed geometry at the GGA-PBE level of DFT.

a = 3.1544 Å, b = 4.3414 Å, c = 4.3414 Å
α = 90.00°, β = 90.00°, γ = 90.00°
With the nearest neighbours (Å) after each atom.
Fractional positions:
Ru: 0.0000 0.0000 0.5000  4 Al 2.68, 4 Nb 2.68
Ru: 0.0000 0.5000 0.0000  4 Al 2.68, 4 Nb 2.68
Nb: 0.5000 0.0000 0.0000  8 Ru 2.68
Al: 0.5000 0.5000 0.5000  8 Ru 2.68

Computed properties:
**Size of the total moment**: 0.0 Bohr magnetons per cell
**Electronic total energy**: -0.319 hartree per atom
**ΔH_f (0 K)**: -56.57 kJ per mole of atoms
**DOS at the Fermi energy**: 0.201 states/eV/atom


[10]
Computed, not measured: crystalline ZrBe2As at its relaxed geometry at the GGA-PBE level of DFT.

a = 3.1660 Å, b = 3.1660 Å, c = 5.7059 Å
α = 90.00°, β = 90.00°, γ = 90.00°
With the nearest neighbours (Å) after each atom.
Fractional positions:
Be: 0.0000 0.0000 0.9413  1 Be 2.18
Be: 0.0000 0.0000 0.5587  1 Be 2.18
As: 0.5000 0.5000 0.7500  8 Be 2.49
Zr: 0.5000 0.5000 0.2500  8 Be 2.85, 2 As 2.85, 4 Zr 3.17

Computed properties:
**Size of the total moment**: 0.0 Bohr magnetons per cell
**Electronic total energy**: -0.189 hartree per atom
**ΔH_f (0 K)**: 0.73 kJ per mole of atoms
**DOS at the Fermi energy**: 0.596 states/eV/atom


[11]
Computed, not measured: crystalline Sr2ErSi3Pt4 at its relaxed geometry at the GGA-PBE level of DFT.

a = 4.3593 Å, b = 4.3593 Å, c = 10.6656 Å
α = 90.00°, β = 90.00°, γ = 90.00°
With the nearest neighbours (Å) after each atom.
Fractional positions:
Sr: 0.5000 0.0000 0.2342  8 Pt 3.29-3.31, 6 Si 3.34-3.58, 2 Er 3.58
Sr: 0.0000 0.5000 0.7658  8 Pt 3.29-3.31, 6 Si 3.34-3.58, 2 Er 3.58
Er: 0.5000 0.5000 0.5000  4 Pt 2.75, 4 Si 3.08
Si: 0.0000 0.0000 0.5000  4 Pt 2.75, 4 Er 3.08
Si: 0.5000 0.0000 0.8852  5 Pt 2.42-2.50
Si: 0.0000 0.5000 0.1148  5 Pt 2.42-2.50
Pt: 0.5000 0.5000 0.0000  4 Si 2.50
Pt: 0.0000 0.0000 0.0000  4 Si 2.50
Pt: 0.5000 0.0000 0.6579  1 Si 2.42
Pt: 0.0000 0.5000 0.3421  1 Si 2.42

Computed properties:
**Size of the total moment**: 0.0 Bohr magnetons per cell
**Formation energy without anion corrections**: -0.954 eV per atom
**Electronic total energy**: -0.213 hartree per atom
**DOS at the Fermi energy**: 0.296 states/eV/atom


[12]
Computed, not measured: crystalline Rb3DySb2O8 at its relaxed geometry at the GGA-PBE level of DFT.

a = 6.2340 Å, b = 6.2340 Å, c = 8.0987 Å
α = 90.00°, β = 90.00°, γ = 120.00°
With the nearest neighbours (Å) after each atom.
Fractional positions:
Rb: 0.3333 0.6667 0.6840  1 O 2.65
Rb: 0.6667 0.3333 0.3160  1 O 2.65
Rb: 0.0000 0.0000 0.0000  12 O 3.27-3.60
Dy: 0.0000 0.0000 0.5000  6 O 2.27
Sb: 0.3333 0.6667 0.2422  4 O 1.87-1.92
Sb: 0.6667 0.3333 0.7578  4 O 1.87-1.92
O: 0.3333 0.6667 0.0117  1 Sb 1.87
O: 0.6667 0.3333 0.9883  1 Sb 1.87
O: 0.1696 0.8304 0.3344  1 Sb 1.92
O: 0.8304 0.1696 0.6656  1 Sb 1.92
O: 0.1696 0.3391 0.3344  1 Sb 1.92
O: 0.8304 0.6609 0.6656  1 Sb 1.92
O: 0.6609 0.8304 0.3344  1 Sb 1.92
O: 0.3391 0.1696 0.6656  1 Sb 1.92

Computed properties:
**Size of the total moment**: 0.0 Bohr magnetons per cell
**Formation energy without anion corrections**: -1.882 eV per atom
**Electronic total energy**: -0.215 hartree per atom
**DOS at the Fermi energy**: 0.000 states/eV/atom